A geometry-optimized TiNi4Pt2 structure. Source: Alexandria via LeMat-Bulk, functional PBE.

Lattice parameters (Å, degrees): 4.568 4.568 5.733 113.48 113.48 90.00
Element x y z (fractional)
Pt 0.640 0.640 0.280
Ni 0.000 0.500 0.000
Ni 0.500 0.000 0.000
Ni 0.250 0.750 0.500
Ni 0.750 0.250 0.500
Ti 0.000 0.000 0.000
Pt 0.360 0.360 0.720

Summary:
ρ = 11.30 Mg/m³
DFT formation energy = 0.132 eV per atom
size of the total moment = 0.0 μB per cell